Entry 1:
La4AgPBr2: optimized geometry, PBE.

```
data_La4AgPBr2
_chemical_formula_sum 'La4 Ag1 P1 Br2'
_space_group_name_H-M_alt 'P 1'
_space_group_IT_number 1
_space_group_name_Hall 'P 1'
_cell_length_a 4.3071
_cell_length_b 7.5421
_cell_length_c 7.6817
_cell_angle_alpha 71.35
_cell_angle_beta 90.00
_cell_angle_gamma 90.00
loop_
_atom_site_label
_atom_site_fract_x
_atom_site_fract_y
_atom_site_fract_z
La1 0.5000 0.7242 0.2757
La2 0.0000 0.7348 0.7403
La3 0.5000 0.2758 0.7243
La4 0.0000 0.2652 0.2597
P1 0.0000 0.5000 0.5000
Ag1 0.5000 0.5000 0.0000
Br1 0.0000 0.0000 0.0000
Br2 0.5000 0.0000 0.5000
```

Computed properties:
Its space group is P2/m (10). The uncorrected formation energy comes out at -1.133 eV/atom. As for the total DFT energy (no corrections): -40.38 eV per cell. As for the density of states at the Fermi level: 0.85 states/eV per atom.


Entry 2:
ZnCdBr3: optimized geometry, PBE.

```
data_ZnCdBr3
_chemical_formula_sum 'Zn1 Cd1 Br3'
_space_group_name_H-M_alt 'P 1'
_space_group_IT_number 1
_space_group_name_Hall 'P 1'
_cell_length_a 5.1818
_cell_length_b 5.1818
_cell_length_c 5.1818
_cell_angle_alpha 90.00
_cell_angle_beta 90.00
_cell_angle_gamma 90.00
loop_
_atom_site_label
_atom_site_fract_x
_atom_site_fract_y
_atom_site_fract_z
Br1 0.5000 0.0000 0.0000
Br2 0.0000 0.5000 0.0000
Br3 0.0000 0.0000 0.5000
Zn1 0.0000 0.0000 0.0000
Cd1 0.5000 0.5000 0.5000
```

Computed properties:
Its space group is Pm-3m (221). The energy above the most stable polymorph in this dataset comes out at 0.0 kJ/mol of atoms. The uncorrected formation energy comes out at -0.392 eV/atom. As for the total DFT energy (no corrections): -9.17 eV per cell. As for the density of states at the Fermi level: 0.58 states/eV per atom.


Entry 3:
KFeTe: optimized geometry, PBE.

```
data_KFeTe
_chemical_formula_sum 'K2 Fe2 Te2'
_space_group_name_H-M_alt 'P 1'
_space_group_IT_number 1
_space_group_name_Hall 'P 1'
_cell_length_a 4.0940
_cell_length_b 4.0940
_cell_length_c 10.7592
_cell_angle_alpha 90.00
_cell_angle_beta 90.00
_cell_angle_gamma 90.00
loop_
_atom_site_label
_atom_site_fract_x
_atom_site_fract_y
_atom_site_fract_z
Te1 0.5000 0.0000 0.6326
Te2 0.0000 0.5000 0.3674
K1 0.0000 0.5000 0.8129
K2 0.5000 0.0000 0.1871
Fe1 0.5000 0.5000 0.5000
Fe2 0.0000 0.0000 0.5000
```

Computed properties:
Its space group is P4/nmm (129). The energy above the most stable polymorph in this dataset comes out at 0.0 kJ/mol of atoms. The uncorrected formation energy comes out at -0.152 eV/atom. As for the total DFT energy (no corrections): -26.31 eV per cell. As for the density of states at the Fermi level: 0.83 states/eV per atom.


Entry 4:
LiI: optimized geometry, PBE.

```
data_LiI
_chemical_formula_sum 'Li2 I2'
_space_group_name_H-M_alt 'P 1'
_space_group_IT_number 1
_space_group_name_Hall 'P 1'
_cell_length_a 4.5730
_cell_length_b 4.5730
_cell_length_c 7.3931
_cell_angle_alpha 90.00
_cell_angle_beta 90.00
_cell_angle_gamma 120.00
loop_
_atom_site_label
_atom_site_fract_x
_atom_site_fract_y
_atom_site_fract_z
Li1 0.6667 0.3333 0.1729
Li2 0.3333 0.6667 0.6729
I1 0.6667 0.3333 0.7949
I2 0.3333 0.6667 0.2949
```

Computed properties:
Its space group is P6_3mc (186). The energy above the most stable polymorph in this dataset comes out at 0.0 kJ/mol of atoms. The uncorrected formation energy comes out at -1.217 eV/atom. As for the total DFT energy (no corrections): -11.80 eV per cell. As for the density of states at the Fermi level: 0.00 states/eV per atom.


Entry 5:
SrAlIr: optimized geometry, PBE.

```
data_SrAlIr
_chemical_formula_sum 'Sr1 Al1 Ir1'
_space_group_name_H-M_alt 'P 1'
_space_group_IT_number 1
_space_group_name_Hall 'P 1'
_cell_length_a 4.2428
_cell_length_b 4.2428
_cell_length_c 4.6721
_cell_angle_alpha 90.00
_cell_angle_beta 90.00
_cell_angle_gamma 120.00
loop_
_atom_site_label
_atom_site_fract_x
_atom_site_fract_y
_atom_site_fract_z
Ir1 0.6667 0.3333 0.1666
Al1 0.0000 0.0000 0.1666
Sr1 0.3333 0.6667 0.6667
```

Computed properties:
Its space group is P-6m2 (187). For the energy relative to the elements, the calculation gives -489 meV/atom. As for the total DFT energy (no corrections): -15.75 eV per cell. As for the density of states at the Fermi level: 0.45 states/eV per atom.


Entry 6:
BeBi3Pt: optimized geometry, PBE.

```
data_BeBi3Pt
_chemical_formula_sum 'Be1 Bi3 Pt1'
_space_group_name_H-M_alt 'P 1'
_space_group_IT_number 1
_space_group_name_Hall 'P 1'
_cell_length_a 5.4346
_cell_length_b 5.4346
_cell_length_c 5.4346
_cell_angle_alpha 90.00
_cell_angle_beta 90.00
_cell_angle_gamma 90.00
loop_
_atom_site_label
_atom_site_fract_x
_atom_site_fract_y
_atom_site_fract_z
Bi1 0.0000 0.0000 0.5000
Bi2 0.0000 0.5000 0.0000
Bi3 0.5000 0.0000 0.0000
Be1 0.5000 0.5000 0.5000
Pt1 0.0000 0.0000 0.0000
```

Computed properties:
Its space group is Pm-3m (221). The energy above the most stable polymorph in this dataset comes out at 24.1 kJ/mol of atoms. For the energy relative to the elements, the calculation gives 859 meV/atom. As for the total DFT energy (no corrections): -17.12 eV per cell. As for the density of states at the Fermi level: 1.13 states/eV per atom.


Entry 7:
PaTc2Ni: optimized geometry, PBE.

```
data_PaTc2Ni
_chemical_formula_sum 'Pa1 Tc2 Ni1'
_space_group_name_H-M_alt 'P 1'
_space_group_IT_number 1
_space_group_name_Hall 'P 1'
_cell_length_a 3.9420
_cell_length_b 4.0511
_cell_length_c 4.0511
_cell_angle_alpha 90.00
_cell_angle_beta 90.00
_cell_angle_gamma 90.00
loop_
_atom_site_label
_atom_site_fract_x
_atom_site_fract_y
_atom_site_fract_z
Pa1 0.5000 0.5000 0.5000
Tc1 0.0000 0.5000 0.0000
Tc2 0.0000 0.0000 0.5000
Ni1 0.5000 0.0000 0.0000
```

Computed properties:
Its space group is P4/mmm (123). The energy above the most stable polymorph in this dataset comes out at 0.0 kJ/mol of atoms. For the energy relative to the elements, the calculation gives -161 meV/atom. As for the total DFT energy (no corrections): -36.65 eV per cell. As for the density of states at the Fermi level: 1.26 states/eV per atom.


Entry 8:
TlIn2Br: optimized geometry, PBE.

```
data_TlIn2Br
_chemical_formula_sum 'Tl1 In2 Br1'
_space_group_name_H-M_alt 'P 1'
_space_group_IT_number 1
_space_group_name_Hall 'P 1'
_cell_length_a 3.5658
_cell_length_b 3.5658
_cell_length_c 9.8852
_cell_angle_alpha 90.00
_cell_angle_beta 90.00
_cell_angle_gamma 108.93
loop_
_atom_site_label
_atom_site_fract_x
_atom_site_fract_y
_atom_site_fract_z
Tl1 0.5000 0.5000 0.2500
In1 0.0000 0.0000 0.5145
In2 0.0000 0.0000 0.9855
Br1 0.5000 0.5000 0.7500
```

Computed properties:
Its space group is Cmmm (65). The energy above the most stable polymorph in this dataset comes out at 8.4 kJ/mol of atoms. The uncorrected formation energy comes out at -0.167 eV/atom. As for the total DFT energy (no corrections): -10.18 eV per cell. As for the density of states at the Fermi level: 0.30 states/eV per atom.


Entry 9:
YSc2CrSi: optimized geometry, PBE.

```
data_YSc2CrSi
_chemical_formula_sum 'Y1 Sc2 Cr1 Si1'
_space_group_name_H-M_alt 'P 1'
_space_group_IT_number 1
_space_group_name_Hall 'P 1'
_cell_length_a 5.0238
_cell_length_b 5.4199
_cell_length_c 5.0238
_cell_angle_alpha 90.00
_cell_angle_beta 90.00
_cell_angle_gamma 90.00
loop_
_atom_site_label
_atom_site_fract_x
_atom_site_fract_y
_atom_site_fract_z
Si1 0.0000 0.0000 0.0000
Sc1 0.5000 0.0000 0.0000
Sc2 0.0000 0.0000 0.5000
Y1 0.0000 0.5000 0.0000
Cr1 0.5000 0.5000 0.5000
```

Computed properties:
Its space group is P4/mmm (123). The uncorrected formation energy comes out at 0.306 eV/atom. As for the total DFT energy (no corrections): -32.65 eV per cell. As for the density of states at the Fermi level: 1.21 states/eV per atom.


Entry 10:
KLaPbI6: optimized geometry, PBE.

```
data_KLaPbI6
_chemical_formula_sum 'K2 La2 Pb2 I12'
_space_group_name_H-M_alt 'P 1'
_space_group_IT_number 1
_space_group_name_Hall 'P 1'
_cell_length_a 8.2495
_cell_length_b 8.2495
_cell_length_c 15.5648
_cell_angle_alpha 90.00
_cell_angle_beta 90.00
_cell_angle_gamma 120.00
loop_
_atom_site_label
_atom_site_fract_x
_atom_site_fract_y
_atom_site_fract_z
I1 0.9938 0.3604 0.1313
I2 0.3604 0.3665 0.8687
I3 0.0062 0.6396 0.8687
I4 0.3604 0.9938 0.6313
I5 0.6335 0.6396 0.6313
I6 0.0062 0.3665 0.6313
I7 0.9938 0.6335 0.3687
I8 0.3665 0.3604 0.3687
I9 0.3665 0.0062 0.1313
I10 0.6335 0.9938 0.8687
I11 0.6396 0.0062 0.3687
I12 0.6396 0.6335 0.1313
Pb1 0.3333 0.6667 0.2500
Pb2 0.6667 0.3333 0.7500
K1 0.0000 0.0000 0.0000
K2 0.0000 0.0000 0.5000
La1 0.3333 0.6667 0.7500
La2 0.6667 0.3333 0.2500
```

Computed properties:
Its space group is P-31c (163). The uncorrected formation energy comes out at -1.224 eV/atom. As for the total DFT energy (no corrections): -60.10 eV per cell. As for the density of states at the Fermi level: 0.00 states/eV per atom.


Q: Which of these has the lowest total DFT energy (no corrections)?
A: KLaPbI6


Please write out number 9 again, unchanged.
YSc2CrSi: optimized geometry, PBE.

```
data_YSc2CrSi
_chemical_formula_sum 'Y1 Sc2 Cr1 Si1'
_space_group_name_H-M_alt 'P 1'
_space_group_IT_number 1
_space_group_name_Hall 'P 1'
_cell_length_a 5.0238
_cell_length_b 5.4199
_cell_length_c 5.0238
_cell_angle_alpha 90.00
_cell_angle_beta 90.00
_cell_angle_gamma 90.00
loop_
_atom_site_label
_atom_site_fract_x
_atom_site_fract_y
_atom_site_fract_z
Si1 0.0000 0.0000 0.0000
Sc1 0.5000 0.0000 0.0000
Sc2 0.0000 0.0000 0.5000
Y1 0.0000 0.5000 0.0000
Cr1 0.5000 0.5000 0.5000
```

Computed properties:
Its space group is P4/mmm (123). The uncorrected formation energy comes out at 0.306 eV/atom. As for the total DFT energy (no corrections): -32.65 eV per cell. As for the density of states at the Fermi level: 1.21 states/eV per atom.


Q: The lowest total DFT energy (no corrections) belongs to which entry?
A: KLaPbI6


Q: The lowest total DFT energy (no corrections) belongs to which entry?
A: KLaPbI6